No. 1
Compound: Tb6Sm8Sc
Source: the Alexandria database
Functional: GGA-PBE
Structure: optimized geometry

Values from the calculation:
Total magnetic moment, μB per atom: 0.000
Offset from the most stable computed form, meV/atom: 0

a b c (Å): 5.842 9.908 9.908
angles (deg): 120.00 90.00 90.00
Fractional coordinates of all 15 atoms:
Tb 0.745 0.621 0.091
Tb 0.745 0.909 0.529
Tb 0.745 0.471 0.379
Tb 0.255 0.379 0.909
Tb 0.255 0.091 0.471
Tb 0.255 0.529 0.621
Sm 0.766 0.052 0.272
Sm 0.766 0.728 0.780
Sm 0.766 0.220 0.948
Sm 0.234 0.948 0.728
Sm 0.234 0.272 0.220
Sm 0.234 0.780 0.052
Sm 0.768 0.333 0.667
Sm 0.232 0.667 0.333
Sc 0.500 0.000 0.000

=====

No. 2
Compound: TbSm15Sc4
Source: the Alexandria database
Functional: GGA-PBE
Structure: optimized geometry

Values from the calculation:
Total magnetic moment, μB per atom: 0.000
Total energy, eV per cell: -100.1

a b c (Å): 5.023 5.023 25.031
angles (deg): 90.00 90.00 90.00
Fractional coordinates of all 20 atoms:
Tb 0.000 0.000 0.000
Sm 0.500 0.500 0.000
Sm 0.500 0.500 0.203
Sm 0.500 0.500 0.401
Sm 0.500 0.500 0.599
Sm 0.500 0.500 0.797
Sm 0.500 0.000 0.103
Sm 0.500 0.000 0.302
Sm 0.500 0.000 0.500
Sm 0.500 0.000 0.698
Sm 0.500 0.000 0.897
Sm 0.000 0.500 0.103
Sm 0.000 0.500 0.302
Sm 0.000 0.500 0.500
Sm 0.000 0.500 0.698
Sm 0.000 0.500 0.897
Sc 0.000 0.000 0.202
Sc 0.000 0.000 0.401
Sc 0.000 0.000 0.599
Sc 0.000 0.000 0.798

=====

No. 3
Compound: TbSm2Sc2
Source: the Alexandria database
Functional: GGA-PBE
Structure: optimized geometry

Values from the calculation:
Total magnetic moment, μB per atom: 0.000
Offset from the most stable computed form, meV/atom: 24

a b c (Å): 9.475 5.672 7.943
angles (deg): 69.08 126.61 90.00
Fractional coordinates of all 10 atoms:
Tb 0.895 0.750 0.000
Tb 0.105 0.250 0.000
Sm 0.412 0.924 0.652
Sm 0.761 0.576 0.348
Sm 0.588 0.076 0.348
Sm 0.239 0.424 0.652
Sc 0.667 0.385 0.729
Sc 0.062 0.885 0.729
Sc 0.333 0.615 0.271
Sc 0.938 0.115 0.271

=====

No. 4
Compound: Tb2Sm8Sc
Source: the Alexandria database
Functional: GGA-PBE
Structure: optimized geometry

Values from the calculation:
Total magnetic moment, μB per atom: 0.000
Offset from the most stable computed form, meV/atom: 0

a b c (Å): 5.653 7.982 9.430
angles (deg): 115.04 107.44 90.00
Fractional coordinates of all 11 atoms:
Tb 0.200 0.700 0.400
Tb 0.800 0.300 0.600
Sm 0.631 0.841 0.263
Sm 0.369 0.578 0.737
Sm 0.166 0.166 0.333
Sm 0.000 0.283 0.000
Sm 0.834 0.834 0.667
Sm 0.631 0.422 0.263
Sm 0.369 0.159 0.737
Sm 0.000 0.717 0.000
Sc 0.500 0.000 0.000

=====

No. 5
Compound: Tb8SmSc2
Source: the Alexandria database
Functional: GGA-PBE
Structure: optimized geometry

Values from the calculation:
Total magnetic moment, μB per atom: 0.000
Offset from the most stable computed form, meV/atom: 0

a b c (Å): 5.405 8.180 9.204
angles (deg): 116.39 107.08 90.00
Fractional coordinates of all 11 atoms:
Tb 0.643 0.847 0.285
Tb 0.357 0.562 0.715
Tb 0.164 0.164 0.328
Tb 0.000 0.300 0.000
Tb 0.836 0.836 0.672
Tb 0.643 0.438 0.285
Tb 0.357 0.153 0.715
Tb 0.000 0.700 0.000
Sm 0.500 0.000 0.000
Sc 0.200 0.700 0.400
Sc 0.800 0.300 0.600

=====

No. 6
Compound: Tb2Sm6Sc3
Source: the Alexandria database
Functional: GGA-PBE
Structure: optimized geometry

Values from the calculation:
Total magnetic moment, μB per atom: 0.000
Total energy, eV per cell: -55.6

a b c (Å): 5.960 8.622 14.700
angles (deg): 41.75 82.93 113.02
Fractional coordinates of all 11 atoms:
Tb 0.499 0.278 0.182
Tb 0.501 0.722 0.818
Sm 0.757 0.361 0.906
Sm 0.990 0.424 0.643
Sm 0.243 0.639 0.094
Sm 0.010 0.576 0.357
Sm 0.677 0.778 0.550
Sm 0.323 0.222 0.450
Sc 0.000 0.000 0.000
Sc 0.740 0.911 0.266
Sc 0.260 0.089 0.734